An optimized crystal structure of NiBiP. Source: Alexandria via LeMat-Bulk, functional PBE.

Summary:
Its symmetry is P3m1. For the distance to the lowest polymorph of the same formula, the calculation gives 0.032 eV/atom.

Geometry as extended XYZ:
```
3
Lattice="3.857 0.000 0.000 -1.929 3.340 0.000 0.000 0.000 4.464" Properties=species:S:1:pos:R:3 pbc="T T T"
Ni 0.000 0.000 0.000
Bi 1.929 1.113 1.709
P 0.000 2.227 4.131
```

=====

An optimized crystal structure of Mo2RuW. Source: Alexandria via LeMat-Bulk, functional PBE.

Summary:
Its symmetry is I-42d. For the distance to the lowest polymorph of the same formula, the calculation gives 0.696 eV/atom.

Geometry as extended XYZ:
```
8
Lattice="-3.591 3.591 2.596 3.591 -3.591 2.596 3.591 3.591 -2.596" Properties=species:S:1:pos:R:3 pbc="T T T"
Mo 5.387 1.716 -0.649
Mo 1.716 1.796 0.649
Mo -1.796 1.875 1.947
Mo 1.875 1.796 3.245
Ru 0.000 0.000 0.000
Ru 0.000 3.591 1.298
W 3.591 0.000 1.298
W 0.000 0.000 2.596
```

=====

An optimized crystal structure of W2SeBr. Source: Alexandria via LeMat-Bulk, functional PBE.

Summary:
Its symmetry is Imm2. For the distance to the lowest polymorph of the same formula, the calculation gives 0.272 eV/atom. The calculation puts the uncorrected formation energy at 0.413 eV per atom.

Geometry as extended XYZ:
```
4
Lattice="-1.564 1.579 8.948 1.564 -1.579 8.948 1.564 1.579 -8.948" Properties=species:S:1:pos:R:3 pbc="T T T"
W 0.000 0.000 0.000
W 0.000 1.579 2.011
Se 0.000 0.000 7.486
Br 1.564 0.000 3.748
```

=====

An optimized crystal structure of La6P2N3Cl. Source: Alexandria via LeMat-Bulk, functional PBE.

Summary:
Its symmetry is C2/m. The calculation puts the uncorrected formation energy at -1.468 eV per atom.

Geometry as extended XYZ:
```
12
Lattice="8.753 -1.968 0.000 8.753 1.968 0.000 -2.222 0.000 7.803" Properties=species:S:1:pos:R:3 pbc="T T T"
La -0.304 0.000 1.721
La 4.683 0.000 3.379
La 3.897 0.000 7.062
La 11.387 0.000 0.741
La 10.601 0.000 4.424
La 15.588 0.000 6.082
P 0.995 0.000 6.441
P 14.289 0.000 1.362
N 2.196 0.000 2.646
N 8.753 0.000 0.000
N 13.088 0.000 5.157
Cl 7.642 0.000 3.901
```